No. 1
Computed, not measured: a geometry-optimized InSnIN2 structure at the PBE-GGA level of DFT. Values from VASP.

Calculated values
Uncorrected formation energy in meV/atom: 1154
Energy above the most stable polymorph in this dataset in meV/atom: 0
ρ in Mg/m³: 5.37

```
&SYSTEM
  ibrav = 0, nat = 5, ntyp = 4
/
ATOMIC_SPECIES
I 126.90 I.upf
N 14.01 N.upf
Sn 118.71 Sn.upf
In 114.82 In.upf
ATOMIC_POSITIONS crystal
I 0.0000 0.0000 0.5000
N 0.5000 0.0000 0.0000
N 0.0000 0.5000 0.0000
Sn 0.0000 0.0000 0.0000
In 0.5000 0.5000 0.5000
CELL_PARAMETERS angstrom
4.3651 0.0000 0.0000
0.0000 4.3651 0.0000
0.0000 0.0000 6.3085
```


No. 2
Computed, not measured: a geometry-optimized Mo2Os3Ru4 structure at the PBE-GGA level of DFT. Values from VASP.

Calculated values
ρ in Mg/m³: 14.46
Final energy in eV per atom: -10.05

```
&SYSTEM
  ibrav = 0, nat = 18, ntyp = 3
/
ATOMIC_SPECIES
Ru 101.07 Ru.upf
Os 190.23 Os.upf
Mo 95.94 Mo.upf
ATOMIC_POSITIONS crystal
Ru 0.1158 0.3666 0.2078
Ru 0.8842 0.6334 0.7922
Ru 0.4810 0.8470 0.9476
Ru 0.3842 0.7922 0.6334
Ru 0.9810 0.9476 0.8470
Ru 0.0190 0.0524 0.1530
Ru 0.5190 0.1530 0.0524
Ru 0.6158 0.2078 0.3666
Os 0.2500 0.5450 0.4550
Os 0.4758 0.8573 0.2886
Os 0.9758 0.2887 0.8573
Os 0.5242 0.1427 0.7114
Os 0.0242 0.7113 0.1427
Os 0.7500 0.4550 0.5450
Mo 0.3887 0.4812 0.8463
Mo 0.1113 0.1538 0.5188
Mo 0.8887 0.8462 0.4812
Mo 0.6113 0.5188 0.1537
CELL_PARAMETERS angstrom
-4.0572 -1.5059 2.0568
0.2952 -7.3422 -1.9239
2.8255 -2.5594 6.5699
```


No. 3
Computed, not measured: a geometry-optimized Ti3NbHg structure at the PBE-GGA level of DFT. Values from VASP.

Calculated values
Energy above the most stable polymorph in this dataset in meV/atom: 923
ρ in Mg/m³: 6.57

```
&SYSTEM
  ibrav = 0, nat = 5, ntyp = 3
/
ATOMIC_SPECIES
Ti 47.87 Ti.upf
Nb 92.91 Nb.upf
Hg 200.59 Hg.upf
ATOMIC_POSITIONS crystal
Ti 0.0000 0.0000 0.5000
Ti 0.0000 0.5000 0.0000
Ti 0.5000 0.0000 0.0000
Nb 0.0000 0.0000 0.0000
Hg 0.5000 0.5000 0.5000
CELL_PARAMETERS angstrom
4.7981 0.0000 0.0000
0.0000 4.7981 0.0000
0.0000 0.0000 4.7981
```


No. 4
Computed, not measured: a geometry-optimized RbSrNb structure at the PBE-GGA level of DFT. Values from VASP.

Calculated values
Energy above the most stable polymorph in this dataset in meV/atom: 985
ρ in Mg/m³: 3.47

```
&SYSTEM
  ibrav = 0, nat = 6, ntyp = 3
/
ATOMIC_SPECIES
Nb 92.91 Nb.upf
Sr 87.62 Sr.upf
Rb 85.47 Rb.upf
ATOMIC_POSITIONS crystal
Nb 0.5000 0.0000 0.0052
Nb 0.0000 0.5000 0.9948
Sr 0.0000 0.0000 0.5000
Sr 0.5000 0.5000 0.5000
Rb 0.5000 0.0000 0.7695
Rb 0.0000 0.5000 0.2305
CELL_PARAMETERS angstrom
4.1228 0.0000 0.0000
0.0000 4.1228 0.0000
0.0000 0.0000 14.9704
```


No. 5
Computed, not measured: a geometry-optimized Mg2Ge2Pd7 structure at the PBE-GGA level of DFT. Values from VASP.

Calculated values
Energy above the most stable polymorph in this dataset in meV/atom: 0
ρ in Mg/m³: 8.99

```
&SYSTEM
  ibrav = 0, nat = 11, ntyp = 3
/
ATOMIC_SPECIES
Mg 24.30 Mg.upf
Ge 72.64 Ge.upf
Pd 106.42 Pd.upf
ATOMIC_POSITIONS crystal
Mg 0.2823 0.8902 0.5646
Mg 0.7177 0.3257 0.4354
Ge 0.0000 0.6575 0.0000
Ge 0.5000 0.3163 0.0000
Pd 0.5000 0.9695 0.0000
Pd 0.8485 0.7591 0.6970
Pd 0.6291 0.7440 0.2581
Pd 0.8707 0.1924 0.7414
Pd 0.3709 0.4859 0.7419
Pd 0.1515 0.0621 0.3030
Pd 0.1293 0.4511 0.2586
CELL_PARAMETERS angstrom
4.1204 0.0000 -1.2577
-1.0601 6.0556 -3.4731
-0.1029 -0.0962 7.0411
```


No. 6
Computed, not measured: a geometry-optimized Na2SrMnPt structure at the PBE-GGA level of DFT. Values from VASP.

Calculated values
ρ in Mg/m³: 3.71
Final energy in eV per atom: -3.53

```
&SYSTEM
  ibrav = 0, nat = 5, ntyp = 4
/
ATOMIC_SPECIES
Na 22.99 Na.upf
Mn 54.94 Mn.upf
Sr 87.62 Sr.upf
Pt 195.08 Pt.upf
ATOMIC_POSITIONS crystal
Na 0.5000 0.0000 0.0000
Na 0.0000 0.0000 0.5000
Mn 0.5000 0.5000 0.5000
Sr 0.0000 0.5000 0.0000
Pt 0.0000 0.0000 0.0000
CELL_PARAMETERS angstrom
5.4656 0.0000 0.0000
0.0000 5.7412 0.0000
0.0000 0.0000 5.4656
```


No. 7
Computed, not measured: a geometry-optimized PuSnGe structure at the PBE-GGA level of DFT. Values from VASP.

Calculated values
Energy above the most stable polymorph in this dataset in meV/atom: 156
ρ in Mg/m³: 10.00

```
&SYSTEM
  ibrav = 0, nat = 3, ntyp = 3
/
ATOMIC_SPECIES
Ge 72.64 Ge.upf
Sn 118.71 Sn.upf
Pu 244.00 Pu.upf
ATOMIC_POSITIONS crystal
Ge 0.6667 0.3333 0.5001
Sn 0.3333 0.6667 0.4999
Pu 0.0000 0.0000 0.0000
CELL_PARAMETERS angstrom
-2.0583 4.3545 -1.3165
-1.7994 -2.5312 3.9098
2.1228 1.6148 2.0224
```


No. 8
Computed, not measured: a geometry-optimized NaTl3InHg structure at the PBE-GGA level of DFT. Values from VASP.

Calculated values
ρ in Mg/m³: 9.33
Final energy in eV per atom: -1.97

```
&SYSTEM
  ibrav = 0, nat = 12, ntyp = 4
/
ATOMIC_SPECIES
In 114.82 In.upf
Tl 204.38 Tl.upf
Na 22.99 Na.upf
Hg 200.59 Hg.upf
ATOMIC_POSITIONS crystal
In 0.7500 0.3793 0.8814
In 0.2500 0.6207 0.1186
Tl 0.2500 0.6219 0.7887
Tl 0.7500 0.3781 0.2113
Tl 0.2500 0.1220 0.9564
Tl 0.7500 0.8780 0.0436
Tl 0.2500 0.6288 0.4587
Tl 0.7500 0.3712 0.5413
Na 0.7500 0.8713 0.3678
Na 0.2500 0.1287 0.6322
Hg 0.7500 0.8918 0.6978
Hg 0.2500 0.1082 0.3022
CELL_PARAMETERS angstrom
-4.3520 -2.2136 0.3240
2.4368 -3.9365 5.8368
-4.3435 8.8968 2.4419
```